<a>
Compound: NaGdZnSe3
Source: OQMD
Functional: PBE
Structure: optimized geometry

a = 9.798 Å, b = 9.798 Å, c = 8.146 Å
α = 103.30°, β = 103.30°, γ = 24.05°
Atoms (fractional coordinates):
Na1 0.120 0.120 0.573
Na2 0.880 0.880 0.427
Se1 0.665 0.665 0.327
Se2 0.500 0.500 0.500
Se3 0.325 0.325 0.158
Se4 0.335 0.335 0.673
Se5 0.000 0.000 0.000
Se6 0.675 0.675 0.842
Gd1 0.173 0.173 0.085
Gd2 0.827 0.827 0.915
Zn1 0.465 0.465 0.771
Zn2 0.535 0.535 0.229

Its space group is C2/m (12). The calculation puts the total magnetic moment at 0.0 μB per cell.

***

<b>
Compound: NaGdZnSe3
Source: OQMD
Functional: PBE
Structure: optimized geometry

a = 7.128 Å, b = 7.128 Å, c = 11.021 Å
α = 90.00°, β = 90.00°, γ = 146.80°
Atoms (fractional coordinates):
Gd1 0.000 0.000 0.000
Gd2 0.000 0.000 0.500
Se1 0.362 0.638 0.929
Se2 0.638 0.362 0.429
Se3 0.080 0.920 0.750
Se4 0.920 0.080 0.250
Se5 0.638 0.362 0.071
Se6 0.362 0.638 0.571
Na1 0.243 0.757 0.250
Na2 0.757 0.243 0.750
Zn1 0.468 0.532 0.750
Zn2 0.532 0.468 0.250

Its space group is Cmcm (63). The calculation puts the total magnetic moment at 0.0 μB per cell.

***

<c>
Compound: NaGdZnSe3
Source: OQMD
Functional: PBE
Structure: optimized geometry

a = 8.278 Å, b = 4.098 Å, c = 9.851 Å
α = 90.00°, β = 104.46°, γ = 90.00°
Atoms (fractional coordinates):
Se1 0.275 0.250 0.463
Se2 0.725 0.750 0.537
Se3 0.941 0.750 0.156
Se4 0.059 0.250 0.844
Se5 0.430 0.750 0.151
Se6 0.570 0.250 0.849
Zn1 0.419 0.750 0.398
Zn2 0.581 0.250 0.602
Gd1 0.819 0.750 0.857
Gd2 0.181 0.250 0.143
Na1 0.714 0.250 0.230
Na2 0.286 0.750 0.770

Its space group is P2_1/m (11). The calculation puts the total magnetic moment at 0.0 μB per cell.

***

Stability, descending: <b>, <c>, <a>

***

<a>
Compound: NaGdTe
Source: OQMD
Functional: PBE
Structure: optimized geometry

a = 5.160 Å, b = 5.160 Å, c = 5.160 Å
α = 60.00°, β = 60.00°, γ = 60.00°
Atoms (fractional coordinates):
Na1 0.250 0.250 0.250
Te1 0.750 0.750 0.750
Gd1 0.000 0.000 0.000

Its space group is F-43m (216). The calculation puts the total magnetic moment at 0.0 μB per cell.

***

<b>
Compound: NaGdTe
Source: OQMD
Functional: PBE
Structure: optimized geometry

a = 5.081 Å, b = 5.081 Å, c = 5.081 Å
α = 60.00°, β = 60.00°, γ = 60.00°
Atoms (fractional coordinates):
Gd1 0.250 0.250 0.250
Te1 0.000 0.000 0.000
Na1 0.750 0.750 0.750

Its space group is F-43m (216). The calculation puts the total magnetic moment at 0.0 μB per cell.

***

Stability, descending: <b>, <a>